Record 1
Sc2ReRu, optimized geometry, DFT PBE; formation enthalpy at 0 K = 0.175 eV/atom
1.0
9.528 -0.020 -0.012
9.064 2.935 -0.012
9.064 1.421 2.568
Re Ru Sc
1 1 2
direct
0.493 0.493 0.493
0.755 0.755 0.755
0.011 0.011 0.011
0.240 0.240 0.240


Record 2
Tb6DyIn3, optimized geometry, DFT PBE; formation enthalpy at 0 K = -0.135 eV/atom
1.0
-2.965 7.096 -0.323
-6.673 -2.516 5.988
7.481 3.329 4.436
Tb Dy In
12 2 6
direct
0.104 0.770 0.704
0.604 0.704 0.770
0.292 0.548 0.921
0.792 0.921 0.548
0.293 0.954 0.046
0.636 0.304 0.696
0.136 0.696 0.304
0.793 0.046 0.954
0.292 0.079 0.452
0.792 0.452 0.079
0.104 0.296 0.230
0.604 0.230 0.296
0.080 0.205 0.795
0.580 0.795 0.205
0.431 0.991 0.720
0.931 0.720 0.991
0.323 0.450 0.550
0.823 0.550 0.450
0.931 0.009 0.280
0.431 0.280 0.009


Record 3
Li2Sn4Cl, optimized geometry, DFT PBE; formation energy from raw total energies = 0.24 eV per atom
1.0
-2.599 -1.226 4.500
-2.948 -3.561 -2.672
2.059 -7.454 2.327
Li Sn Cl
2 4 1
direct
0.595 0.595 0.809
0.405 0.405 0.191
0.791 0.791 0.418
0.209 0.209 0.582
0.000 0.500 0.000
0.500 0.000 0.000
0.000 0.000 0.000